# PrB4Pt

A relaxed structure of PrB4Pt (PBE-GGA, OQMD via LeMat-Bulk).

Summary:
Its crystal system is hexagonal. The polymorph energy (0 for the lowest one) is 0.000 eV/atom. As for the total energy: -0.230 hartree per atom. Its space group is P6/mmm (191).

```
PrB4Pt
1.0
-0.868 2.065 -2.408
2.187 -2.385 -0.588
-5.310 -4.409 -1.868
B Pr Pt
4 1 1
Cartesian
-1.367 -0.679 -2.335
-0.349 -2.162 -1.728
-3.642 -2.567 -3.135
-2.624 -4.050 -2.528
0.000 0.000 0.000
-2.655 -2.205 -0.934
```


# TbDyAl4Ni2

A relaxed structure of TbDyAl4Ni2 (PBE-GGA, OQMD via LeMat-Bulk).

Summary:
Its crystal system is orthorhombic. As for the total energy: -0.186 hartree per atom. Its space group is Amm2 (38).

```
TbDyAl4Ni2
1.0
6.882 0.000 0.000
0.000 2.030 5.091
0.000 -2.030 5.091
Al Dy Ni Tb
4 1 2 1
Cartesian
1.345 0.000 1.595
5.537 0.000 1.595
2.096 0.000 8.587
4.786 0.000 8.587
0.000 0.000 4.465
3.441 0.000 2.893
0.000 0.000 7.288
3.441 0.000 5.716
```


# DyPSe3S

A relaxed structure of DyPSe3S (PBE-GGA, OQMD via LeMat-Bulk).

Summary:
Its crystal system is triclinic. The polymorph energy (0 for the lowest one) is 0.005 eV/atom. As for the total energy: -0.183 hartree per atom. Its space group is P-1 (2).

```
DyPSe3S
1.0
6.645 0.000 0.000
0.790 6.847 0.000
0.386 0.240 7.873
Dy P S Se
2 2 2 6
Cartesian
1.936 4.876 0.459
5.884 2.211 7.414
5.217 5.137 1.456
2.603 1.950 6.417
3.570 5.305 2.605
4.250 1.782 5.268
2.788 1.921 0.702
6.692 6.814 1.735
6.523 3.373 1.936
1.298 3.714 5.937
1.128 0.273 6.139
5.033 5.166 7.171
```


# NaHgAsO

A relaxed structure of NaHgAsO (PBE-GGA, OQMD via LeMat-Bulk).

Summary:
Its crystal system is orthorhombic. The polymorph energy (0 for the lowest one) is 0.002 eV/atom. As for the total energy: -0.116 hartree per atom. Its space group is Pmc2_1 (26).

```
NaHgAsO
1.0
-3.857 0.498 1.209
-2.312 -0.438 -7.195
-0.505 -5.052 0.470
As Hg Na O
2 2 2 2
Cartesian
-1.226 -2.396 -2.926
-1.779 -4.978 -3.625
-2.621 -2.155 -0.616
-4.263 -4.944 -4.705
-2.187 -2.828 -5.812
-0.869 -5.057 -0.691
-4.227 -2.029 -5.791
-2.569 -4.193 0.389
```


# MgAgTeO

A relaxed structure of MgAgTeO (PBE-GGA, OQMD via LeMat-Bulk).

Summary:
Its crystal system is orthorhombic. The polymorph energy (0 for the lowest one) is 0.011 eV/atom. As for the total energy: -0.155 hartree per atom. Its space group is Pca2_1 (29).

```
MgAgTeO
1.0
6.303 0.000 0.000
0.000 8.696 0.000
0.000 0.000 5.601
Ag Mg O Te
4 4 4 4
Cartesian
0.482 2.877 0.494
3.633 5.818 0.494
2.670 2.877 3.295
5.822 5.818 3.295
0.722 0.378 2.545
3.874 8.318 2.545
2.430 0.378 5.346
5.581 8.318 5.346
0.731 0.521 0.625
3.883 8.174 0.625
2.420 0.521 3.426
5.572 8.174 3.426
3.749 3.031 0.536
0.597 5.665 0.536
5.706 3.031 3.336
2.555 5.665 3.336
```


# HfCuGe

A relaxed structure of HfCuGe (PBE-GGA, OQMD via LeMat-Bulk).

Summary:
Its crystal system is orthorhombic. As for the total energy: -0.242 hartree per atom. Its space group is Pnma (62).

```
HfCuGe
1.0
6.484 0.000 0.000
0.000 3.986 0.000
0.000 0.000 7.420
Cu Ge Hf
4 4 4
Cartesian
4.363 0.997 0.580
1.121 0.997 3.130
5.362 2.990 4.290
2.121 2.990 6.840
1.790 0.997 0.749
5.031 0.997 2.961
1.452 2.990 4.459
4.694 2.990 6.671
6.408 2.990 1.448
3.167 2.990 2.262
3.317 0.997 5.158
0.075 0.997 5.971
```


# CuReSiW

A relaxed structure of CuReSiW (PBE-GGA, OQMD via LeMat-Bulk).

Summary:
Its crystal system is cubic. The polymorph energy (0 for the lowest one) is 0.083 eV/atom. As for the total energy: -0.308 hartree per atom. Its space group is F-43m (216).

```
CuReSiW
1.0
0.000 2.999 2.999
2.999 0.000 2.999
2.999 2.999 0.000
Cu Re Si W
1 1 1 1
Cartesian
4.499 4.499 4.499
2.999 2.999 2.999
1.500 1.500 1.500
0.000 0.000 0.000
```


# SmZrTa

A relaxed structure of SmZrTa (PBE-GGA, OQMD via LeMat-Bulk).

Summary:
The value obtained for the formation energy is 1.075 eV/atom. Its crystal system is cubic. The polymorph energy (0 for the lowest one) is 0.000 eV/atom. As for the total energy: -0.268 hartree per atom. Its space group is F-43m (216).

```
SmZrTa
1.0
-1.400 3.341 3.209
0.566 4.701 -0.999
-3.867 2.762 -0.914
Sm Ta Zr
1 1 1
Cartesian
-1.175 2.701 0.324
-3.526 8.104 0.973
0.000 0.000 0.000
```